[1]
The following is a PBE-GGA calculation of an optimized crystal structure of Pr2Nd7Dy, from the Alexandria database.

Cell: 3.511 15.190 15.190 Å, 154.14 90.00 90.00°
Fractional positions:
Pr 0.500 0.704 0.296
Pr 0.500 0.296 0.704
Nd 0.000 0.812 0.188
Nd 0.000 0.188 0.812
Nd 0.500 0.146 0.342
Nd 0.500 0.854 0.658
Nd 0.500 0.342 0.146
Nd 0.500 0.658 0.854
Nd 0.500 0.500 0.500
Dy 0.000 0.000 0.000

Properties
The formation energy is 144 meV/atom. The symmetry is No. 65. The mass density comes out at 6.83 g/cm³.



[2]
The following is a PBE-GGA calculation of an optimized crystal structure of MgAlV2, from the Alexandria database.

Cell: 7.088 7.088 5.660 Å, 51.23 51.23 90.00°
Each line ends with the local moment (μB).
Fractional positions:
Mg 0.500 0.500 0.000  0.00
Mg 0.250 0.750 0.500  0.00
Al 0.000 0.000 0.000  0.00
Al 0.750 0.250 0.500  0.00
V 0.636 0.125 0.250  0.47
V 0.114 0.625 0.250  0.47
V 0.375 0.364 0.750  0.47
V 0.875 0.886 0.750  0.47

Properties
The formation energy is 613 meV/atom. The symmetry is No. 122. The mass density comes out at 3.85 g/cm³.



[3]
The following is a PBE-GGA calculation of an optimized crystal structure of ScZnBr2, from the Alexandria database.

Cell: 3.377 3.378 9.597 Å, 90.00 90.00 90.00°
Fractional positions:
Br 0.000 0.000 0.079
Br 0.000 0.000 0.421
Sc 0.500 0.500 0.250
Zn 0.500 0.500 0.750

Properties
The value obtained for the relative energy among the computed polymorphs is 109 meV/atom. The formation energy from raw total energies is -0.80 eV/atom. The symmetry is No. 123. The mass density comes out at 4.10 g/cm³.



[4]
The following is a PBE-GGA calculation of an optimized crystal structure of AlHgF, from the Alexandria database.

Cell: 2.856 3.210 14.544 Å, 90.00 90.00 116.41°
Fractional positions:
Hg 0.652 0.305 0.000
Hg 0.406 0.812 0.500
F 0.652 0.304 0.272
F 0.652 0.304 0.728
Al 0.152 0.304 0.818
Al 0.152 0.304 0.182

Properties
The formation energy from raw total energies is -1.09 eV/atom. The symmetry is No. 38. The mass density comes out at 6.86 g/cm³.



[5]
The following is a PBE-GGA calculation of an optimized crystal structure of CsPa2TlO8, from the Alexandria database.

Cell: 5.143 5.156 8.254 Å, 90.00 90.00 88.09°
Fractional positions:
Cs 0.000 0.000 0.500
Pa 0.500 0.500 0.787
Pa 0.500 0.500 0.213
Tl 0.000 0.000 0.000
O 0.219 0.779 0.202
O 0.679 0.680 0.000
O 0.781 0.221 0.202
O 0.781 0.221 0.798
O 0.321 0.320 0.000
O 0.219 0.779 0.798
O 0.600 0.600 0.500
O 0.400 0.400 0.500

Properties
The formation energy from raw total energies is -2.30 eV/atom. The symmetry is No. 10. The mass density comes out at 7.04 g/cm³.



[6]
The following is a PBE-GGA calculation of an optimized crystal structure of TeRu2Se, from the Alexandria database.

Cell: 5.593 5.593 7.086 Å, 66.76 66.76 90.00°
Fractional positions:
Ru 0.593 0.125 0.250
Ru 0.157 0.625 0.250
Ru 0.375 0.407 0.750
Ru 0.875 0.843 0.750
Te 0.000 0.000 0.000
Te 0.750 0.250 0.500
Se 0.500 0.500 0.000
Se 0.250 0.750 0.500

Properties
The value obtained for the relative energy among the computed polymorphs is 134 meV/atom. The formation energy from raw total energies is 0.20 eV/atom. The symmetry is No. 122. The mass density comes out at 7.38 g/cm³.



[7]
The following is a PBE-GGA calculation of an optimized crystal structure of LiNbHg, from the Alexandria database.

Cell: 3.941 9.281 3.016 Å, 90.00 90.00 90.00°
Fractional positions:
Nb 0.000 0.578 0.000
Nb 0.500 0.422 0.500
Hg 0.000 0.230 0.000
Hg 0.500 0.770 0.500
Li 0.000 0.915 0.000
Li 0.500 0.085 0.500

Properties
The value obtained for the relative energy among the computed polymorphs is 8 meV/atom. The formation energy is -4 meV/atom. The symmetry is No. 59. The mass density comes out at 9.05 g/cm³.



[8]
The following is a PBE-GGA calculation of an optimized crystal structure of SrNdSn2, from the Alexandria database.

Cell: 4.515 5.199 5.199 Å, 90.00 90.00 90.00°
Fractional positions:
Sr 0.500 0.000 0.000
Nd 0.500 0.500 0.500
Sn 0.000 0.000 0.500
Sn 0.000 0.500 0.000

Properties
The formation energy is -584 meV/atom. The symmetry is No. 123. The mass density comes out at 6.39 g/cm³.



[9]
The following is a PBE-GGA calculation of an optimized crystal structure of LaTmSiPd, from the Alexandria database.

Cell: 5.085 5.085 5.085 Å, 60.00 60.00 60.00°
Fractional positions:
Si 0.750 0.750 0.750
Tm 0.000 0.000 0.000
Pd 0.250 0.250 0.250
La 0.500 0.500 0.500

Properties
The formation energy from raw total energies is -0.67 eV/atom. The symmetry is No. 216. The mass density comes out at 7.90 g/cm³.



[10]
The following is a PBE-GGA calculation of an optimized crystal structure of TaPtBr3, from the Alexandria database.

Cell: 5.074 5.074 5.074 Å, 90.00 90.00 90.00°
Fractional positions:
Br 0.000 0.500 0.000
Br 0.000 0.000 0.500
Br 0.500 0.000 0.000
Pt 0.500 0.500 0.500
Ta 0.000 0.000 0.000

Properties
The value obtained for the relative energy among the computed polymorphs is 0 meV/atom. The formation energy from raw total energies is 0.62 eV/atom. The symmetry is No. 221. The mass density comes out at 7.83 g/cm³.



[11]
The following is a PBE-GGA calculation of an optimized crystal structure of CrCuN2, from the Alexandria database.

Cell: 6.213 6.213 6.213 Å, 25.49 25.49 25.49°
Each line ends with the local moment (μB).
Fractional positions:
Cr 0.500 0.500 0.500  0.28
Cu 0.000 0.000 0.000  0.00
N 0.897 0.897 0.897  -0.02
N 0.103 0.103 0.103  -0.02

Properties
The value obtained for the relative energy among the computed polymorphs is 147 meV/atom. The formation energy from raw total energies is 0.05 eV/atom. The symmetry is No. 166. The mass density comes out at 6.10 g/cm³.



[12]
The following is a PBE-GGA calculation of an optimized crystal structure of Ac6Nd5Dy, from the Alexandria database.

Cell: 5.489 10.525 10.116 Å, 121.35 105.72 90.00°
Fractional positions:
Ac 0.834 0.585 0.668
Ac 0.834 0.083 0.668
Ac 0.500 0.752 0.000
Ac 0.500 0.248 0.000
Ac 0.166 0.917 0.332
Ac 0.166 0.415 0.332
Nd 0.666 0.166 0.333
Nd 0.334 0.334 0.667
Nd 0.000 0.500 0.000
Nd 0.666 0.666 0.333
Nd 0.334 0.834 0.667
Dy 0.000 0.000 0.000

Properties
The formation energy is 29 meV/atom. The symmetry is No. 71. The mass density comes out at 7.88 g/cm³.



[13]
The following is a PBE-GGA calculation of an optimized crystal structure of Ba6Au7, from the Alexandria database.

Cell: 11.695 11.695 11.695 Å, 34.67 34.67 34.67°
Fractional positions:
Au 0.856 0.447 0.447
Au 0.447 0.447 0.856
Au 0.447 0.856 0.447
Au 0.144 0.553 0.553
Au 0.553 0.144 0.553
Au 0.553 0.553 0.144
Au 0.500 0.500 0.500
Ba 0.932 0.932 0.932
Ba 0.068 0.068 0.068
Ba 0.812 0.812 0.812
Ba 0.188 0.188 0.188
Ba 0.679 0.679 0.679
Ba 0.321 0.321 0.321

Properties
The formation energy is -482 meV/atom. The symmetry is No. 166. The mass density comes out at 7.92 g/cm³.



[14]
The following is a PBE-GGA calculation of an optimized crystal structure of Li5SbPb4, from the Alexandria database.

Cell: 3.583 3.582 17.420 Å, 90.00 90.00 90.00°
Fractional positions:
Li 0.500 0.500 0.092
Li 0.500 0.500 0.300
Li 0.500 0.500 0.500
Li 0.500 0.500 0.700
Li 0.500 0.500 0.908
Sb 0.000 0.000 0.000
Pb 0.000 0.000 0.198
Pb 0.000 0.000 0.400
Pb 0.000 0.000 0.600
Pb 0.000 0.000 0.802

Properties
The formation energy from raw total energies is -0.29 eV/atom. The symmetry is No. 123. The mass density comes out at 7.32 g/cm³.



[15]
The following is a PBE-GGA calculation of an optimized crystal structure of Dy4NiSn8, from the Alexandria database.

Cell: 4.400 4.427 16.806 Å, 90.00 90.00 90.00°
Fractional positions:
Dy 0.000 0.000 0.094
Dy 0.000 0.500 0.602
Dy 0.500 0.500 0.394
Dy 0.500 0.000 0.897
Ni 0.000 0.000 0.309
Sn 0.000 0.000 0.455
Sn 0.000 0.500 0.930
Sn 0.500 0.500 0.053
Sn 0.500 0.000 0.573
Sn 0.000 0.500 0.234
Sn 0.000 0.000 0.748
Sn 0.500 0.000 0.234
Sn 0.500 0.500 0.752

Properties
The formation energy is -568 meV/atom. The symmetry is No. 25. The mass density comes out at 8.41 g/cm³.



[16]
The following is a PBE-GGA calculation of an optimized crystal structure of TcHgSCl2, from the Alexandria database.

Cell: 4.477 5.889 4.477 Å, 90.00 90.00 90.00°
Fractional positions:
S 0.500 0.500 0.500
Cl 0.000 0.000 0.500
Cl 0.500 0.000 0.000
Hg 0.000 0.500 0.000
Tc 0.000 0.000 0.000

Properties
The value obtained for the relative energy among the computed polymorphs is 477 meV/atom. The formation energy from raw total energies is 0.38 eV/atom. The symmetry is No. 123. The mass density comes out at 5.65 g/cm³.



[17]
The following is a PBE-GGA calculation of an optimized crystal structure of Pm6SmY4, from the Alexandria database.

Cell: 5.873 5.690 25.969 Å, 90.00 90.00 121.07°
Fractional positions:
Pm 0.500 0.000 0.000
Pm 0.500 0.000 0.500
Pm 0.125 0.249 0.318
Pm 0.875 0.751 0.682
Pm 0.875 0.751 0.818
Pm 0.125 0.249 0.182
Pm 0.801 0.602 0.399
Pm 0.199 0.398 0.601
Pm 0.199 0.398 0.899
Pm 0.801 0.602 0.101
Pm 0.451 0.902 0.250
Pm 0.549 0.098 0.750
Sm 0.789 0.578 0.250
Sm 0.211 0.422 0.750
Y 0.849 0.699 0.544
Y 0.459 0.919 0.124
Y 0.151 0.301 0.456
Y 0.541 0.081 0.876
Y 0.849 0.699 0.956
Y 0.151 0.301 0.044
Y 0.541 0.081 0.624
Y 0.459 0.919 0.376

Properties
The value obtained for the relative energy among the computed polymorphs is 0 meV/atom. The formation energy is 114 meV/atom. The symmetry is No. 63. The mass density comes out at 6.15 g/cm³.



[18]
The following is a PBE-GGA calculation of an optimized crystal structure of TbHfCu2, from the Alexandria database.

Cell: 4.745 4.745 4.745 Å, 60.00 60.00 60.00°
Each line ends with the local moment (μB).
Fractional positions:
Tb 0.000 0.000 0.000  0.09
Hf 0.500 0.500 0.500  0.14
Cu 0.250 0.250 0.250  0.01
Cu 0.750 0.750 0.750  0.01

Properties
The value obtained for the relative energy among the computed polymorphs is 64 meV/atom. The formation energy is -80 meV/atom. The symmetry is No. 225. The mass density comes out at 10.21 g/cm³.



[19]
The following is a PBE-GGA calculation of an optimized crystal structure of Ca3MgAu8, from the Alexandria database.

Cell: 5.688 5.688 9.718 Å, 72.98 72.98 60.00°
Fractional positions:
Ca 0.376 0.376 0.871
Ca 0.993 0.993 0.020
Ca 0.506 0.506 0.483
Mg 0.870 0.870 0.391
Au 0.939 0.437 0.186
Au 0.438 0.938 0.685
Au 0.437 0.437 0.186
Au 0.938 0.938 0.685
Au 0.188 0.188 0.435
Au 0.688 0.688 0.936
Au 0.437 0.939 0.186
Au 0.938 0.438 0.685

Properties
The formation energy is -547 meV/atom. The symmetry is No. 160. The mass density comes out at 11.15 g/cm³.



[20]
The following is a PBE-GGA calculation of an optimized crystal structure of Pm12Sn5Ge2, from the Alexandria database.

Cell: 8.048 9.515 9.869 Å, 103.55 90.00 115.02°
Fractional positions:
Pm 0.951 0.902 0.174
Pm 0.093 0.656 0.899
Pm 0.563 0.656 0.899
Pm 0.124 0.719 0.439
Pm 0.594 0.719 0.439
Pm 0.494 0.988 0.776
Pm 0.506 0.012 0.224
Pm 0.876 0.281 0.561
Pm 0.406 0.281 0.561
Pm 0.907 0.344 0.101
Pm 0.437 0.344 0.101
Pm 0.049 0.098 0.826
Sn 0.290 0.580 0.636
Sn 0.318 0.635 0.165
Sn 0.000 0.000 0.500
Sn 0.682 0.365 0.835
Sn 0.710 0.420 0.364
Ge 0.751 0.000 0.000
Ge 0.249 0.000 0.000

Properties
The formation energy is -435 meV/atom. The symmetry is No. 12. The mass density comes out at 6.22 g/cm³.